BiOs2F | Alexandria | PBE | optimized geometry; total energy = -6.05 eV/atom; formation energy from raw total energies = 1.004 eV per atom
1.0
4.093 1.305 1.380
1.034 -0.084 4.391
2.931 -3.051 1.570
Os F Bi
2 1 1
direct
0.750 0.750 0.750
0.250 0.250 0.250
0.000 0.000 0.000
0.500 0.500 0.500